PBE CaCo2Ir, optimized geometry; symmetry = Imm2 (44); DFT total energy = -6.01 eV per atom; crystal system = orthorhombic
1.0
-4.4813 0.6194 -2.9053
0.2546 -0.1864 -5.3672
0.7152 -2.4465 4.7338
Ca Ir Co
1 1 2
Cartesian
-2.9542 -0.8038 -1.1822
-1.9855 0.2034 -3.8860
-0.1483 0.0152 -0.2903
-0.5367 -1.2118 -2.3163

PBE Mg4Mn5, optimized geometry; symmetry = I4/mmm (139); crystal system = tetragonal; energy above the lowest structure with this stoichiometry = 0 meV per atom
1.0
-4.2597 4.2597 2.0629
4.2597 -4.2597 2.0629
4.2597 4.2597 -2.0629
Mg Mn
4 5
Cartesian
0.0000 5.8381 0.0000
0.0000 2.6814 0.0000
2.6814 0.0000 0.0000
5.8381 0.0000 0.0000
0.0000 0.0000 0.0000
-1.3396 1.3396 2.0629
1.3396 -1.3396 2.0629
2.9202 2.9202 0.0000
1.3396 1.3396 2.0629

PBE BeMoPt2, optimized geometry; symmetry = P4/mmm (123); DFT total energy = -7.20 eV per atom; crystal system = tetragonal
1.0
-0.1629 -2.6880 0.6328
0.8950 0.5485 2.5594
-6.6606 0.9062 2.1349
Be Mo Pt
1 1 2
Cartesian
-1.2991 -0.8432 2.1298
-4.6294 -0.3901 3.1973
-0.2755 0.0375 0.0883
-3.0548 0.4156 0.9792

PBE CeNdZnN3, optimized geometry; formation energy without anion corrections = -0.8919 eV per atom; symmetry = P2_1/m (11); crystal system = monoclinic
1.0
3.4895 0.0000 0.0000
0.0000 7.3772 0.8792
0.0000 -1.8494 7.0961
Ce Nd Zn N
2 2 2 6
Cartesian
0.8724 4.4304 1.8183
2.6171 1.0974 6.1570
2.6171 4.6344 6.3954
0.8724 0.8934 1.5799
0.8724 -0.3595 4.2802
2.6171 5.8873 3.6951
0.8724 5.0140 4.4239
2.6171 6.1167 1.7182
2.6171 2.8256 1.3365
2.6171 0.5138 3.5515
0.8724 2.7022 6.6388
0.8724 -0.5889 6.2572

PBE La2PtAu, optimized geometry; symmetry = P-3m1 (164); DFT total energy = -5.74 eV per atom; crystal system = trigonal
1.0
-2.0719 2.1764 3.2087
-0.9426 -2.0333 3.7819
6.1494 2.0051 2.6107
La Pt Au
2 1 1
Cartesian
-0.5978 0.5558 5.2599
3.7326 1.5924 4.3415
0.0000 0.0000 0.0000
3.0747 1.0025 1.3054

PBE KCd4Ag2Au, optimized geometry; symmetry = R-3m (166); DFT total energy = -1.76 eV per atom; crystal system = trigonal
1.0
4.7495 0.0000 0.0000
2.3748 4.1132 0.0000
2.3748 1.3711 10.4403
K Cd Ag Au
1 4 2 1
Cartesian
0.0000 0.0000 0.0000
4.7495 2.7421 8.1024
7.1243 4.1132 4.2290
2.3747 1.3711 6.2113
4.7495 2.7421 2.3379
7.1243 4.1132 7.3788
2.3748 1.3711 3.0615
4.7495 2.7421 5.2202

PBE Rb2AcNpO4, optimized geometry; formation energy without anion corrections = -2.3086 eV per atom; symmetry = P2/m (10); crystal system = monoclinic
1.0
-2.9115 -2.2967 0.4427
3.7861 -5.0985 -1.5511
0.3053 0.9520 6.9472
Rb Ac Np O
2 1 1 4
Cartesian
-1.3031 -0.6724 3.6949
2.0457 -2.0733 2.6980
0.0000 0.0000 0.0000
0.4373 -3.6976 -0.5542
-0.4512 -2.2613 1.0542
1.6311 -4.1820 4.7845
1.3695 -0.7172 5.2861
2.7219 -3.4293 0.1099

PBE Pu2Ga3Pt, optimized geometry; symmetry = Pmm2 (25); DFT total energy = -7.86 eV per atom; crystal system = orthorhombic
1.0
-1.2636 3.1101 0.8417
-3.6874 -1.9631 1.7175
3.5093 -0.4683 6.9990
Pu Ga Pt
2 3 1
Cartesian
-1.7990 -0.9875 0.9480
1.7158 -0.2290 3.4221
2.2926 1.1648 6.2534
-0.0550 1.4781 1.5713
-0.1352 0.2612 5.9471
-1.3044 0.4172 3.6153

PBE NaNiS4, optimized geometry; formation energy without anion corrections = -0.2262 eV per atom; symmetry = I4_1/a (88); crystal system = tetragonal
1.0
-4.6166 -1.1164 -0.3047
1.0107 -3.2796 -3.2977
-0.0865 -12.1387 8.6111
Na Ni S
2 2 8
Cartesian
-0.2197 -4.4041 0.8781
-3.4728 -12.1306 4.1306
-2.0227 -6.6021 -0.9232
-1.6698 -9.9326 5.9318
-0.8373 -11.0301 2.4421
-1.8836 -9.8447 3.7462
-3.6542 -5.5723 -1.9759
-1.7938 -2.0822 1.0495
-2.8552 -5.5046 2.5666
-1.8089 -6.6899 1.2625
-0.0382 -10.9623 6.9845
-1.8987 -14.4525 3.9592

PBE Dy2YHo4, optimized geometry; symmetry = C2/m (12); crystal system = monoclinic; energy above the lowest structure with this stoichiometry = 0 meV per atom
1.0
3.4966 -0.2556 0.3215
-2.6117 8.2398 -3.6075
0.9204 -1.1434 8.3855
Dy Y Ho
2 1 4
Cartesian
0.2656 3.2938 -0.2609
1.5398 3.5470 5.3603
0.0000 0.0000 0.0000
0.1339 5.0320 2.5403
3.0519 0.3268 5.6680
1.6715 1.8088 2.5592
-1.2465 6.5140 -0.5686

PBE Ba8CdGa2, optimized geometry; symmetry = Immm (71); crystal system = orthorhombic; energy above the lowest structure with this stoichiometry = 73 meV per atom
1.0
-1.3784 -5.1064 2.5152
8.7933 -3.9512 -3.2015
-0.1074 6.9535 7.2388
Ba Ga Cd
8 2 1
Cartesian
6.7113 -4.5978 1.1632
4.3230 0.8189 4.0322
0.9778 0.6588 1.8733
2.9344 -1.3185 -1.0682
6.3296 -2.7628 4.6792
2.9845 -2.9230 2.5203
0.5962 2.4938 5.3893
4.3730 -0.7856 7.6207
5.8263 -1.0127 1.1377
1.4811 -1.0914 5.4148
-0.6892 -2.5532 1.2576

PBE Nd3Al3Pd2, optimized geometry; symmetry = Cmcm (63); crystal system = orthorhombic; energy above the lowest structure with this stoichiometry = 0 meV per atom
1.0
-0.1247 4.3542 -1.4751
-4.2799 -1.3814 3.4532
8.4107 4.3635 12.1696
Nd Al Pd
6 6 4
Cartesian
-0.4121 4.5352 6.2526
6.7479 4.0098 11.2660
-2.7418 3.3265 2.8817
4.4182 2.8012 7.8951
0.9888 3.4607 2.9625
3.0173 3.8757 11.1852
2.7425 4.4119 5.6221
4.8889 4.8053 13.7711
-0.8828 2.5311 0.3766
1.2636 2.9244 8.5256
-0.6994 1.6044 4.7949
4.7055 5.7320 9.3529
4.9411 6.5705 11.8081
1.5767 2.0689 5.9739
2.4294 5.2674 8.1739
-0.9350 0.7658 2.3396

Please write out number 12 again, unchanged.
PBE Nd3Al3Pd2, optimized geometry; symmetry = Cmcm (63); crystal system = orthorhombic; energy above the lowest structure with this stoichiometry = 0 meV per atom
1.0
-0.1247 4.3542 -1.4751
-4.2799 -1.3814 3.4532
8.4107 4.3635 12.1696
Nd Al Pd
6 6 4
Cartesian
-0.4121 4.5352 6.2526
6.7479 4.0098 11.2660
-2.7418 3.3265 2.8817
4.4182 2.8012 7.8951
0.9888 3.4607 2.9625
3.0173 3.8757 11.1852
2.7425 4.4119 5.6221
4.8889 4.8053 13.7711
-0.8828 2.5311 0.3766
1.2636 2.9244 8.5256
-0.6994 1.6044 4.7949
4.7055 5.7320 9.3529
4.9411 6.5705 11.8081
1.5767 2.0689 5.9739
2.4294 5.2674 8.1739
-0.9350 0.7658 2.3396

Q: Number 3 is which compound?
A: BeMoPt2